[1]
Here is a relaxed Th6Ir3OsRh2 crystal from the Alexandria database. Energies are from GGA-PBE.

Formation enthalpy at 0 K, eV/f.u.: -9.7

POSCAR file:
```
Th6Ir3OsRh2
1.0
8.962 -2.058 0.000
8.962 2.058 0.000
-1.901 0.000 8.024
Th Ir Os Rh
6 3 1 2
direct
0.001 0.001 0.254
0.334 0.334 0.916
0.336 0.336 0.420
0.664 0.664 0.580
0.666 0.666 0.084
0.999 0.999 0.746
0.170 0.170 0.331
0.500 0.500 0.000
0.830 0.830 0.669
0.500 0.500 0.500
0.168 0.168 0.837
0.832 0.832 0.163
```

=====

[2]
Here is a relaxed UIrOsRh crystal from the Alexandria database. Energies are from GGA-PBE.

Formation enthalpy at 0 K, eV/f.u.: -2.0

POSCAR file:
```
UIrOsRh
1.0
3.994 0.000 0.000
0.000 3.995 0.000
0.000 0.000 4.104
U Ir Os Rh
1 1 1 1
direct
0.000 0.000 0.000
0.500 0.000 0.500
0.500 0.500 0.000
0.000 0.500 0.500
```

=====

[3]
Here is a relaxed Ir3Os4Ru4 crystal from the Alexandria database. Energies are from GGA-PBE.

Formation enthalpy at 0 K, eV/f.u.: 0.5

POSCAR file:
```
Ir3Os4Ru4
1.0
15.033 -1.923 0.000
15.033 1.923 0.000
-0.243 0.000 2.706
Ir Os Ru
3 4 4
direct
0.000 0.000 0.000
0.364 0.364 0.364
0.636 0.636 0.636
0.090 0.090 0.090
0.273 0.273 0.273
0.727 0.727 0.727
0.910 0.910 0.910
0.183 0.183 0.183
0.454 0.454 0.454
0.546 0.546 0.546
0.817 0.817 0.817
```

=====

[4]
Here is a relaxed IrOsRu crystal from the Alexandria database. Energies are from GGA-PBE.

Excess energy over the best structure of this formula in the dataset, kJ per mole of atoms: 0.6
Formation enthalpy at 0 K, eV/f.u.: 0.1

POSCAR file:
```
IrOsRu
1.0
4.514 -1.359 0.000
4.514 1.359 0.000
-1.630 0.000 3.482
Ir Os Ru
1 1 1
direct
0.000 0.000 0.000
0.668 0.668 0.668
0.330 0.330 0.329
```

=====

[5]
Here is a relaxed Ir2OsRu3 crystal from the Alexandria database. Energies are from GGA-PBE.

Excess energy over the best structure of this formula in the dataset, kJ per mole of atoms: 102.5
Formation enthalpy at 0 K, eV/f.u.: 6.6

POSCAR file:
```
Ir2OsRu3
1.0
5.824 -3.352 0.000
5.824 3.352 0.000
0.000 0.000 6.452
Ir Os Ru
4 2 6
direct
0.003 0.324 0.000
0.324 0.003 0.500
0.676 0.997 0.000
0.997 0.676 0.500
0.349 0.651 0.028
0.651 0.349 0.528
0.007 0.658 0.128
0.318 0.682 0.656
0.342 0.993 0.128
0.658 0.007 0.628
0.682 0.318 0.156
0.993 0.342 0.628
```

=====

[6]
Here is a relaxed Ir2OsRu6 crystal from the Alexandria database. Energies are from GGA-PBE.

Formation enthalpy at 0 K, eV/f.u.: 0.2

POSCAR file:
```
Ir2OsRu6
1.0
7.101 -1.364 0.000
7.101 1.364 0.000
-1.588 0.000 6.546
Ir Os Ru
2 1 6
direct
0.075 0.075 0.166
0.925 0.925 0.834
0.000 0.000 0.500
0.259 0.259 0.836
0.334 0.334 0.497
0.406 0.406 0.165
0.594 0.594 0.835
0.666 0.666 0.503
0.741 0.741 0.164
```